Entry 1:
ZrNiOs2: relaxed, GGA-PBE. Values from VASP.

Values from the calculation:
**Energy relative to the elements**: 101.2 meV per atom
**Electronic total energy**: -36.384 eV for the cell shown
**Density of states at the Fermi level**: 5.24 states/eV/f.u.

Structure (Quantum ESPRESSO input):
```
&SYSTEM
  ibrav = 0, nat = 4, ntyp = 3
/
ATOMIC_SPECIES
Ni 58.69 Ni.upf
Os 190.23 Os.upf
Zr 91.22 Zr.upf
CELL_PARAMETERS angstrom
-0.3202 -0.0696 4.4208
-3.9328 -0.6861 1.9269
-0.8011 -3.8185 2.1044
ATOMIC_POSITIONS crystal
Ni 0.5000 0.5000 0.5000
Os 0.2500 0.2500 0.2500
Os 0.0000 0.0000 0.0000
Zr 0.7500 0.7500 0.7500
```

Entry 2:
ZrNiOs: relaxed, GGA-PBE. Values from VASP.

Values from the calculation:
**Energy relative to the elements**: 55.8 meV per atom
**Electronic total energy**: -25.392 eV for the cell shown
**Density of states at the Fermi level**: 5.46 states/eV/f.u.

Structure (Quantum ESPRESSO input):
```
&SYSTEM
  ibrav = 0, nat = 3, ntyp = 3
/
ATOMIC_SPECIES
Zr 91.22 Zr.upf
Os 190.23 Os.upf
Ni 58.69 Ni.upf
CELL_PARAMETERS angstrom
6.0943 -0.0283 0.0000
4.7762 3.7853 0.0000
-5.4352 -1.8785 2.0175
ATOMIC_POSITIONS crystal
Zr 0.6632 0.6632 0.0000
Os 0.3515 0.3515 0.0000
Ni 0.9854 0.9854 0.0000
```